VASP calculation (GGA-PBE) on a relaxed Hf4Cu3W2N3 crystal.

a = 5.492 Å, b = 5.492 Å, c = 13.176 Å
α = 101.74°, β = 101.74°, γ = 60.46°
Fractional positions:
Hf 0.034 0.198 0.107
Hf 0.129 0.303 0.393
Hf 0.198 0.034 0.607
Hf 0.303 0.129 0.893
Hf 0.697 0.871 0.107
Hf 0.802 0.966 0.393
Hf 0.871 0.697 0.607
Hf 0.966 0.802 0.893
Cu 0.155 0.845 0.250
Cu 0.317 0.420 0.750
Cu 0.420 0.317 0.250
Cu 0.580 0.683 0.750
Cu 0.683 0.580 0.250
Cu 0.845 0.155 0.750
W 0.357 0.524 0.073
W 0.476 0.643 0.427
W 0.524 0.357 0.573
W 0.643 0.476 0.927
N 0.000 0.500 0.000
N 0.141 0.679 0.500
N 0.321 0.859 0.000
N 0.500 0.000 0.500
N 0.679 0.141 0.000
N 0.859 0.321 0.500

Properties
SG: C2/c, No. 15
E, eV per atom: -9.10
Total moment, μB/cell: 0.00
Crystal system: monoclinic

=====

VASP calculation (GGA-PBE) on a relaxed TmLu6Ni2S2 crystal.

a = 8.721 Å, b = 8.721 Å, c = 8.721 Å
α = 155.57°, β = 67.77°, γ = 117.89°
Fractional positions:
Tm 0.000 0.000 0.000
Lu 0.077 0.391 0.686
Lu 0.118 0.752 0.366
Lu 0.387 0.752 0.634
Lu 0.478 0.599 0.879
Lu 0.705 0.391 0.314
Lu 0.720 0.599 0.121
Ni 0.330 0.090 0.240
Ni 0.849 0.090 0.760
S 0.352 0.352 0.000
S 0.752 0.252 0.500

Properties
SG: Imm2, No. 44
E, eV per atom: -5.51
Total moment, μB/cell: 0.00
Crystal system: orthorhombic

=====

VASP calculation (GGA-PBE) on a relaxed KMo8 crystal.

a = 10.432 Å, b = 10.397 Å, c = 5.962 Å
α = 73.69°, β = 73.05°, γ = 33.26°
Fractional positions:
K 0.125 0.125 0.125
K 0.875 0.875 0.875
Mo 0.048 0.613 0.417
Mo 0.200 0.746 0.300
Mo 0.254 0.800 0.745
Mo 0.255 0.300 0.746
Mo 0.300 0.255 0.200
Mo 0.387 0.952 0.579
Mo 0.417 0.421 0.048
Mo 0.421 0.417 0.613
Mo 0.579 0.583 0.387
Mo 0.583 0.579 0.952
Mo 0.613 0.048 0.421
Mo 0.700 0.745 0.800
Mo 0.745 0.700 0.254
Mo 0.746 0.200 0.255
Mo 0.800 0.254 0.700
Mo 0.952 0.387 0.583

Properties
SG: Fddd, No. 70
E, eV per atom: -8.92
Total moment, μB/cell: 0.00
Crystal system: orthorhombic

=====

VASP calculation (GGA-PBE) on a relaxed Ho5Si10Ir4 crystal.

a = 12.629 Å, b = 12.629 Å, c = 4.251 Å
α = 90.00°, β = 90.00°, γ = 90.00°
Fractional positions:
Ho 0.000 0.000 0.000
Ho 0.115 0.385 0.500
Ho 0.175 0.675 0.500
Ho 0.325 0.175 0.500
Ho 0.385 0.885 0.500
Ho 0.500 0.500 0.000
Ho 0.615 0.115 0.500
Ho 0.675 0.825 0.500
Ho 0.825 0.325 0.500
Ho 0.885 0.615 0.500
Si 0.002 0.843 0.500
Si 0.066 0.566 0.000
Si 0.157 0.002 0.500
Si 0.164 0.201 0.000
Si 0.201 0.836 0.000
Si 0.299 0.336 0.000
Si 0.336 0.701 0.000
Si 0.343 0.502 0.500
Si 0.434 0.066 0.000
Si 0.498 0.343 0.500
Si 0.502 0.657 0.500
Si 0.566 0.934 0.000
Si 0.657 0.498 0.500
Si 0.664 0.299 0.000
Si 0.701 0.664 0.000
Si 0.799 0.164 0.000
Si 0.836 0.799 0.000
Si 0.843 0.998 0.500
Si 0.934 0.434 0.000
Si 0.998 0.157 0.500
Ir 0.020 0.755 0.000
Ir 0.245 0.020 0.000
Ir 0.255 0.520 0.000
Ir 0.480 0.255 0.000
Ir 0.520 0.745 0.000
Ir 0.745 0.480 0.000
Ir 0.755 0.980 0.000
Ir 0.980 0.245 0.000

Properties
SG: P4/mbm, No. 127
E, eV per atom: -6.82
Total moment, μB/cell: 0.00
Crystal system: tetragonal

=====

VASP calculation (GGA-PBE) on a relaxed Hf4ZnCoC2 crystal.

a = 3.235 Å, b = 3.235 Å, c = 13.720 Å
α = 90.00°, β = 90.00°, γ = 120.00°
Fractional positions:
Hf 0.000 0.000 0.141
Hf 0.000 0.000 0.859
Hf 0.333 0.667 0.331
Hf 0.333 0.667 0.669
Zn 0.000 0.000 0.500
Co 0.333 0.667 0.000
C 0.667 0.333 0.241
C 0.667 0.333 0.759

Properties
SG: P-6m2, No. 187
E, eV per atom: -8.82
Total moment, μB/cell: 0.62
Crystal system: hexagonal

=====

VASP calculation (GGA-PBE) on a relaxed LaPr2AlBr3 crystal.

a = 6.097 Å, b = 6.097 Å, c = 6.120 Å
α = 90.00°, β = 90.00°, γ = 90.00°
Fractional positions:
La 0.000 0.000 0.000
Pr 0.000 0.500 0.500
Pr 0.500 0.000 0.500
Al 0.000 0.000 0.500
Br 0.000 0.500 0.000
Br 0.500 0.000 0.000
Br 0.500 0.500 0.500

Properties
SG: P4/mmm, No. 123
E, eV per atom: -4.58
Total moment, μB/cell: 0.00
Crystal system: tetragonal

=====

VASP calculation (GGA-PBE) on a relaxed ZrHgAu2 crystal.

a = 6.762 Å, b = 6.762 Å, c = 6.762 Å
α = 90.00°, β = 90.00°, γ = 90.00°
Fractional positions:
Zr 0.000 0.000 0.000
Zr 0.000 0.500 0.500
Zr 0.500 0.000 0.500
Zr 0.500 0.500 0.000
Hg 0.250 0.250 0.750
Hg 0.250 0.750 0.250
Hg 0.750 0.250 0.250
Hg 0.750 0.750 0.750
Au 0.000 0.000 0.500
Au 0.000 0.500 0.000
Au 0.250 0.250 0.250
Au 0.250 0.750 0.750
Au 0.500 0.000 0.000
Au 0.500 0.500 0.500
Au 0.750 0.250 0.750
Au 0.750 0.750 0.250

Properties
Energy of formation from the pure elements, eV/atom: -0.29
SG: F-43m, No. 216
Total moment, μB/cell: 0.00
Crystal system: cubic

=====

VASP calculation (GGA-PBE) on a relaxed NiAgBiTe3 crystal.

a = 5.365 Å, b = 8.728 Å, c = 14.631 Å
α = 90.00°, β = 90.00°, γ = 90.00°
Fractional positions:
Ni 0.026 0.147 0.242
Ni 0.474 0.853 0.742
Ni 0.526 0.353 0.758
Ni 0.974 0.647 0.258
Ag 0.039 0.600 0.953
Ag 0.461 0.400 0.453
Ag 0.539 0.900 0.047
Ag 0.961 0.100 0.547
Bi 0.113 0.636 0.653
Bi 0.387 0.364 0.153
Bi 0.613 0.864 0.347
Bi 0.887 0.136 0.847
Te 0.201 0.660 0.410
Te 0.209 0.887 0.201
Te 0.249 0.128 0.391
Te 0.251 0.872 0.891
Te 0.291 0.113 0.701
Te 0.299 0.340 0.910
Te 0.701 0.840 0.590
Te 0.709 0.613 0.799
Te 0.749 0.372 0.609
Te 0.751 0.628 0.109
Te 0.791 0.387 0.299
Te 0.799 0.160 0.090

Properties
SG: P2_12_12_1, No. 19
E, eV per atom: -3.74
Total moment, μB/cell: 0.00
Crystal system: orthorhombic

=====

VASP calculation (GGA-PBE) on a relaxed Sm4B2BrCl4 crystal.

a = 10.120 Å, b = 10.120 Å, c = 8.130 Å
α = 104.05°, β = 104.05°, γ = 22.31°
Fractional positions:
Sm 0.003 0.003 0.207
Sm 0.336 0.336 0.890
Sm 0.664 0.664 0.110
Sm 0.997 0.997 0.793
B 0.459 0.459 0.977
B 0.541 0.541 0.023
Br 0.500 0.500 0.500
Cl 0.163 0.163 0.349
Cl 0.175 0.175 0.868
Cl 0.825 0.825 0.132
Cl 0.837 0.837 0.651

Properties
SG: C2/m, No. 12
E, eV per atom: -5.19
Total moment, μB/cell: 0.01
Crystal system: monoclinic

=====

VASP calculation (GGA-PBE) on a relaxed La3NiGe2 crystal.

a = 12.045 Å, b = 4.362 Å, c = 11.845 Å
α = 90.00°, β = 90.00°, γ = 90.00°
Fractional positions:
La 0.058 0.250 0.125
La 0.117 0.750 0.556
La 0.218 0.250 0.803
La 0.282 0.750 0.303
La 0.383 0.250 0.056
La 0.442 0.750 0.625
La 0.558 0.250 0.375
La 0.617 0.750 0.944
La 0.718 0.250 0.697
La 0.782 0.750 0.197
La 0.883 0.250 0.444
La 0.942 0.750 0.875
Ni 0.128 0.250 0.366
Ni 0.372 0.750 0.866
Ni 0.628 0.250 0.134
Ni 0.872 0.750 0.634
Ge 0.025 0.750 0.311
Ge 0.198 0.750 0.994
Ge 0.302 0.250 0.494
Ge 0.475 0.250 0.811
Ge 0.525 0.750 0.189
Ge 0.698 0.750 0.506
Ge 0.802 0.250 0.006
Ge 0.975 0.250 0.689

Properties
SG: Pnma, No. 62
E, eV per atom: -5.68
Total moment, μB/cell: 2.84
Crystal system: orthorhombic

=====

VASP calculation (GGA-PBE) on a relaxed Hf2ZrSb4Pd4 crystal.

a = 7.698 Å, b = 7.698 Å, c = 7.698 Å
α = 131.27°, β = 131.27°, γ = 71.38°
Fractional positions:
Hf 0.250 0.750 0.500
Hf 0.750 0.250 0.500
Zr 0.000 0.000 0.000
Sb 0.000 0.500 0.500
Sb 0.260 0.260 0.000
Sb 0.500 0.000 0.500
Sb 0.740 0.740 0.000
Pd 0.112 0.112 0.483
Pd 0.371 0.888 0.000
Pd 0.629 0.629 0.517
Pd 0.888 0.371 0.000

Properties
Energy above the lowest structure with this stoichiometry, meV per atom: 0
SG: I-42m, No. 121
Total moment, μB/cell: 0.00
Crystal system: tetragonal

=====

VASP calculation (GGA-PBE) on a relaxed Rb2MoSe2S crystal.

a = 7.979 Å, b = 7.979 Å, c = 10.191 Å
α = 121.79°, β = 121.79°, γ = 53.20°
Fractional positions:
Rb 0.085 0.085 0.360
Rb 0.308 0.308 0.191
Rb 0.692 0.692 0.809
Rb 0.915 0.915 0.640
Mo 0.395 0.395 0.840
Mo 0.605 0.605 0.160
Se 0.204 0.204 0.776
Se 0.388 0.388 0.600
Se 0.612 0.612 0.400
Se 0.796 0.796 0.224
S 0.250 0.750 0.000
S 0.750 0.250 0.000

Properties
SG: C2/m, No. 12
E, eV per atom: -4.88
Total moment, μB/cell: 0.00
Crystal system: monoclinic